A plane-wave DFT calculation with PBE+U was carried out for a relaxed NaIrWO6 crystal.

Values from the calculation:
Symmetry: P4_2nm, No. 102
Fermi-level density of states in states/eV per atom: 0.5952
Uncorrected energy in eV/atom: -6.620

Lattice parameters (Å, degrees): 4.8388 4.8388 9.2780 90.00 90.00 90.00
Closest atoms and distances in Å follow each position.
Atoms (fractional coordinates):
O 0.8262 0.1738 0.5002  1 Ir 1.98, 1 W 1.98
O 0.2161 0.7839 0.8091  1 Ir 1.95, 1 W 1.95
O 0.1738 0.8262 0.5002  1 Ir 1.98, 1 W 1.98
O 0.7823 0.2177 0.1885  1 W 1.94, 1 Ir 1.98
O 0.3262 0.3262 0.0002  1 Ir 1.98, 1 W 1.98
O 0.6738 0.6738 0.0002  1 Ir 1.98, 1 W 1.98
O 0.2177 0.7823 0.1885  1 W 1.94, 1 Ir 1.98
O 0.7161 0.7161 0.3091  1 Ir 1.95, 1 W 1.95
O 0.7839 0.2161 0.8091  1 Ir 1.95, 1 W 1.95
O 0.2823 0.2823 0.6885  1 W 1.94, 1 Ir 1.98
O 0.7177 0.7177 0.6885  1 W 1.94, 1 Ir 1.98
O 0.2839 0.2839 0.3091  1 Ir 1.95, 1 W 1.95
Ir 0.5000 0.5000 0.8295  6 O 1.95-1.98
Ir 0.0000 0.0000 0.3295  6 O 1.95-1.98
W 0.5000 0.5000 0.1715  6 O 1.94-1.98
W 0.0000 0.0000 0.6715  6 O 1.94-1.98
Na 0.0000 0.0000 0.0034  6 O 2.23-2.33
Na 0.5000 0.5000 0.5034  6 O 2.23-2.33